# CuRe2Pt, optimized geometry, DFT PBE
# - Uncorrected energy: -8.6593 eV per atom
# - Spin magnetization: 0.000 μB per formula unit
# - Energy above the most stable polymorph in this dataset: 0.30 eV/f.u.
data_CuRe2Pt
_chemical_formula_sum 'Cu2 Re4 Pt2'
_space_group_name_H-M_alt 'C 1 2/m 1'
_space_group_IT_number 12
_space_group_name_Hall '-C 2y'
_cell_length_a 9.231
_cell_length_b 2.725
_cell_length_c 4.676
_cell_angle_alpha 90.00
_cell_angle_beta 99.36
_cell_angle_gamma 90.00
loop_
_atom_site_label
_atom_site_type_symbol
_atom_site_fract_x
_atom_site_fract_y
_atom_site_fract_z
Cu1 Cu 0.000 0.000 0.000
Re1 Re 0.246 0.000 0.754
Pt1 Pt 0.000 0.500 0.500